SiWI2: relaxed, PBEsol.

abc: 4.842 4.842 4.842
angles: 60.00 60.00 60.00
Fractional positions:
Si1 0.000 0.000 0.000
W1 0.500 0.500 0.500
I1 0.250 0.250 0.250
I2 0.750 0.750 0.750

* density: 9.6 Mg/m³
* crystal system: cubic
* DOS at the Fermi energy: 2.6 states/eV/f.u.
* formation energy without anion corrections: 113.2 kJ per mole of atoms
* raw total energy: -4.598 eV/atom

BMoPbSe2: relaxed, PBEsol.

abc: 4.770 4.770 4.182
angles: 90.00 90.00 90.00
Fractional positions:
B1 0.000 0.000 0.000
Mo1 0.000 0.000 0.500
Pb1 0.500 0.500 0.500
Se1 0.000 0.500 0.000
Se2 0.500 0.000 0.000

* density: 8.2 Mg/m³
* crystal system: tetragonal
* DOS at the Fermi energy: 3.5 states/eV/f.u.
* formation energy without anion corrections: 71.8 kJ per mole of atoms
* raw total energy: -5.352 eV/atom

CaGeSeN2: relaxed, PBEsol.

abc: 4.383 4.383 5.595
angles: 90.00 90.00 90.00
Fractional positions:
Ca1 0.000 0.000 0.000
Ge1 0.500 0.500 0.500
Se1 0.000 0.000 0.500
N1 0.000 0.500 0.000
N2 0.500 0.000 0.000

* density: 3.4 Mg/m³
* crystal system: tetragonal
* DOS at the Fermi energy: 1.9 states/eV/f.u.
* E above lowest polymorph: 1050 meV per atom
* formation energy without anion corrections: 121.5 kJ per mole of atoms
* raw total energy: -4.336 eV/atom

MgTa2Zn2O8: relaxed, PBEsol.

abc: 9.978 9.978 5.206
angles: 90.01 90.01 34.22
Fractional positions:
Mg1 0.145 0.855 0.750
Mg2 0.855 0.145 0.250
Ta1 0.225 0.545 0.238
Ta2 0.455 0.775 0.262
Ta3 0.545 0.225 0.738
Ta4 0.775 0.455 0.762
Zn1 0.066 0.375 0.263
Zn2 0.375 0.066 0.763
Zn3 0.625 0.934 0.237
Zn4 0.934 0.625 0.737
O1 0.048 0.339 0.634
O2 0.065 0.819 0.088
O3 0.181 0.935 0.412
O4 0.220 0.422 0.939
O5 0.316 0.546 0.575
O6 0.339 0.048 0.134
O7 0.422 0.220 0.439
O8 0.454 0.684 0.925
O9 0.546 0.316 0.075
O10 0.578 0.780 0.561
O11 0.661 0.952 0.866
O12 0.684 0.454 0.425
O13 0.780 0.578 0.061
O14 0.819 0.065 0.588
O15 0.935 0.181 0.912
O16 0.952 0.661 0.366

* density: 7.3 Mg/m³
* crystal system: monoclinic
* DOS at the Fermi energy: 0.0 states/eV/f.u.
* formation energy without anion corrections: -233.8 kJ per mole of atoms
* raw total energy: -7.960 eV/atom

Mn2Pt2Cl: relaxed, PBEsol.

abc: 7.258 7.258 7.258
angles: 150.26 150.26 42.56
Fractional positions:
Mn1 0.118 0.118 0.000
Mn2 0.882 0.882 0.000
Pt1 0.250 0.750 0.500
Pt2 0.750 0.250 0.500
Cl1 0.500 0.500 0.000

* density: 9.5 Mg/m³
* crystal system: tetragonal
* DOS at the Fermi energy: 2.0 states/eV/f.u.
* formation energy without anion corrections: 15.1 kJ per mole of atoms
* raw total energy: -6.935 eV/atom

BPd2: relaxed, PBEsol.

abc: 4.702 5.085 3.110
angles: 90.00 90.00 90.00
Fractional positions:
B1 0.000 0.000 0.000
B2 0.500 0.500 0.500
Pd1 0.248 0.155 0.500
Pd2 0.252 0.655 0.000
Pd3 0.748 0.345 0.000
Pd4 0.752 0.845 0.500

* density: 10.0 Mg/m³
* crystal system: orthorhombic
* DOS at the Fermi energy: 0.9 states/eV/f.u.
* formation energy from the elements: -0.9 eV/f.u.
* raw total energy: -6.613 eV/atom

LaAuCl: relaxed, PBEsol.

abc: 4.735 4.735 4.735
angles: 60.00 60.00 60.00
Fractional positions:
La1 0.000 0.000 0.000
Au1 0.500 0.500 0.500
Cl1 0.750 0.750 0.750

* density: 8.2 Mg/m³
* crystal system: cubic
* DOS at the Fermi energy: 3.6 states/eV/f.u.
* E above lowest polymorph: 181 meV per atom
* formation energy without anion corrections: -89.5 kJ per mole of atoms
* raw total energy: -4.687 eV/atom

SrBe2Pt: relaxed, PBEsol.

abc: 3.090 3.090 6.900
angles: 90.00 90.00 90.00
Fractional positions:
Sr1 0.000 0.000 0.000
Be1 0.000 0.000 0.520
Be2 0.500 0.500 0.341
Pt1 0.500 0.500 0.662

* density: 7.6 Mg/m³
* crystal system: tetragonal
* DOS at the Fermi energy: 2.0 states/eV/f.u.
* E above lowest polymorph: 463 meV per atom
* formation energy from the elements: -0.1 eV/f.u.
* raw total energy: -4.215 eV/atom